# 1
The following is a DFT calculation (PBE) of a relaxed PPtPbCl2 crystal.

a = 5.2171 Å, b = 5.2171 Å, c = 5.5768 Å
α = 90.00°, β = 90.00°, γ = 90.00°
Closest atoms and distances in Å follow each position.
Sites, in units of the cell vectors:
1 P 0.0000 0.0000 0.0000  2 Pb 2.79
2 Pt 0.5000 0.5000 0.0000  4 P 3.69, 8 Cl 3.82
3 Pb 0.0000 0.0000 0.5000  4 Cl 2.61, 2 P 2.79
4 Cl 0.0000 0.5000 0.5000  2 Pb 2.61
5 Cl 0.5000 0.0000 0.5000  2 Pb 2.61

As for the energy above the most stable polymorph in this dataset: 870 meV/atom. As for the space group: P4/mmm. The crystal system is tetragonal.

---

# 2
The following is a DFT calculation (PBE) of a relaxed PPtPbCl2 crystal.

a = 5.2933 Å, b = 5.2933 Å, c = 4.5916 Å
α = 90.00°, β = 90.00°, γ = 90.00°
Closest atoms and distances in Å follow each position.
Sites, in units of the cell vectors:
1 P 0.0000 0.0000 0.0000  2 Pt 2.30
2 Pt 0.0000 0.0000 0.5000  2 P 2.30
3 Pb 0.5000 0.5000 0.0000  8 Cl 3.50, 4 P 3.74
4 Cl 0.0000 0.5000 0.5000  2 Pt 2.65
5 Cl 0.5000 0.0000 0.5000  2 Pt 2.65

As for the energy above the most stable polymorph in this dataset: 0 meV/atom. As for the space group: P4/mmm. The crystal system is tetragonal.

---

# 3
The following is a DFT calculation (PBE) of a relaxed RePPbCl2 crystal.

a = 5.3199 Å, b = 5.3199 Å, c = 5.5159 Å
α = 90.00°, β = 90.00°, γ = 90.00°
Closest atoms and distances in Å follow each position.
Sites, in units of the cell vectors:
1 Re 0.0000 0.0000 0.0000  4 P 3.76, 8 Cl 3.83
2 P 0.5000 0.5000 0.0000  2 Pb 2.76
3 Pb 0.5000 0.5000 0.5000  4 Cl 2.66, 2 P 2.76
4 Cl 0.0000 0.5000 0.5000  2 Pb 2.66
5 Cl 0.5000 0.0000 0.5000  2 Pb 2.66

As for the energy above the most stable polymorph in this dataset: 997 meV/atom. As for the space group: P4/mmm. The crystal system is tetragonal.

---

Number 1: energy -14.51 eV per cell, E_form (uncorrected) 4.3 eV per formula unit. Number 2: energy -18.86 eV per cell, E_form (uncorrected) 0.0 eV per formula unit. Number 3: energy -19.14 eV per cell, E_form (uncorrected) 6.1 eV per formula unit.